# 1
K2LaZr: relaxed, PBEsol.

Cell: 3.2552 7.1032 7.7857 Å, 117.14 102.07 90.00°
With the nearest neighbours (Å) after each atom.
Element x y z (fractional)
K1 0.7560 0.2560 0.5120  2 K 3.26
K2 0.9801 0.9801 0.9602  2 K 3.26
Zr1 0.2221 0.7221 0.4442  2 La 2.92, 2 Zr 3.26
La1 0.5418 0.5418 0.0836  2 Zr 2.92, 2 La 3.26

Results
As for the crystal system: orthorhombic.


# 2
KLa2Zr: relaxed, PBEsol.

Cell: 3.4586 4.5931 9.1093 Å, 90.00 90.00 90.00°
With the nearest neighbours (Å) after each atom.
Element x y z (fractional)
La1 0.5000 0.5000 0.2883  4 Zr 3.15, 2 La 3.46
La2 0.0000 0.0000 0.0623  1 Zr 3.34, 6 La 3.46-3.54
K1 0.5000 0.5000 0.7201  2 K 3.46
Zr1 0.0000 0.0000 0.4293  5 La 3.15-3.34, 2 Zr 3.46

Results
As for the crystal system: orthorhombic.


# 3
KLaZr: relaxed, PBEsol.

Cell: 5.2595 5.2595 5.2595 Å, 60.00 60.00 60.00°
With the nearest neighbours (Å) after each atom.
Element x y z (fractional)
Zr1 0.5000 0.5000 0.5000  4 K 3.22
La1 0.0000 0.0000 0.0000  4 K 3.22
K1 0.2500 0.2500 0.2500  4 Zr 3.22, 4 La 3.22

Results
As for the crystal system: cubic.


For each record above, in turn, the calculated calculated density values are 3288; 4683; 4346 kg/m³.
For each record above, in turn, the calculated ΔE_f values are 0.759; 0.520; 1.630 eV/atom.
For each record above, in turn, the calculated total energy values are -13.7; -18.8; -10.7 eV/cell.